ZrTe4O12 PBE-GGA optimized geometry; density = 5.4 g/cm3; energy = -100.6 eV for the cell shown; Fermi-level density of states = 0.06 states/eV/f.u.; crystal system = monoclinic; symmetry = C2/m, No. 12
1.0
-2.4977 -3.3857 5.4398
1.2509 -4.5333 -4.8816
5.8066 3.1805 1.4533
O Zr Te
12 1 4
direct
0.1585 0.2526 0.4399
0.8415 0.7474 0.5601
0.0645 0.7416 0.3229
0.7088 0.8904 0.2112
0.2912 0.5025 0.1816
0.6151 0.2856 0.3296
0.3849 0.7144 0.6704
0.1585 0.7186 0.9059
0.2912 0.1096 0.7888
0.8415 0.2814 0.0941
0.7088 0.4975 0.8184
0.9355 0.2584 0.6771
0.0000 0.5000 0.5000
0.5000 0.0000 0.0000
0.0000 0.0000 0.5000
0.5000 0.5000 0.5000
0.0000 0.5000 0.0000



Hf3P4Ru4 PBE-GGA optimized geometry; ΔH_f (0 K) = -10.2 eV/f.u.; density = 10.7 g/cm3; Fermi-level density of states = 5.16 states/eV/f.u.; crystal system = orthorhombic; symmetry = Immm, No. 71
1.0
-1.7591 0.6170 -3.3081
5.4946 -2.3991 -3.3692
-4.2932 -4.9461 3.5396
P Ru Hf
4 4 3
direct
0.5000 0.2027 0.0000
0.5000 0.7973 0.0000
0.2206 0.7206 0.4413
0.7794 0.2794 0.5587
0.3272 0.5289 0.6543
0.6728 0.4711 0.3457
0.6728 0.8746 0.3457
0.3272 0.1254 0.6543
0.0000 0.5000 0.0000
0.1183 0.1183 0.2366
0.8817 0.8817 0.7634



OsS4Cl PBE-GGA optimized geometry; density = 3.7 g/cm3; energy = -59.8 eV for the cell shown; crystal system = triclinic; symmetry = P-1, No. 2
1.0
-0.1864 0.5161 -6.4416
0.7674 -8.3219 2.4949
-6.3746 3.0209 0.8556
Os Cl S
2 2 8
direct
0.7842 0.9657 0.0089
0.2158 0.0343 0.9911
0.1885 0.3777 0.5417
0.8114 0.6223 0.4584
0.4675 0.9470 0.7681
0.5325 0.0530 0.2319
0.4796 0.7750 0.0884
0.9711 0.0979 0.8018
0.0289 0.9021 0.1982
0.9063 0.7226 0.8178
0.0937 0.2774 0.1822
0.5203 0.2250 0.9116



Rb2MnTeS4 PBE-GGA optimized geometry; density = 3.8 g/cm3; energy = -69.7 eV for the cell shown; Fermi-level density of states = 3.23 states/eV/f.u.; crystal system = monoclinic; symmetry = C2/c, No. 15
1.0
7.8395 0.1101 0.8952
0.1046 7.8396 0.8952
-3.2256 -3.2279 6.1683
S Rb Mn Te
8 4 2 2
direct
0.7550 0.6758 0.4532
0.1758 0.2550 0.9532
0.8242 0.7450 0.0468
0.8618 0.3165 0.1489
0.2450 0.3242 0.5468
0.8164 0.3618 0.6489
0.1382 0.6835 0.8511
0.1835 0.6382 0.3511
0.5000 0.0000 0.5000
0.5000 0.0000 0.0000
0.5000 0.5000 0.0000
0.0000 0.0000 0.5000
0.0000 0.5000 0.5000
0.0000 0.5000 0.0000
0.0000 0.0000 0.0000
0.5000 0.5000 0.5000



Nb2CuRuBr PBE-GGA optimized geometry; density = 7.4 g/cm3; energy = -28.1 eV for the cell shown; Fermi-level density of states = 7.46 states/eV/f.u.; crystal system = tetragonal; symmetry = P4/mmm, No. 123
1.0
4.7372 0.0000 0.0000
0.0000 4.3169 0.0000
0.0000 0.0000 4.7372
Br Nb Cu Ru
1 2 1 1
direct
0.0000 0.0000 0.0000
0.5000 0.0000 0.0000
0.0000 0.0000 0.5000
0.0000 0.5000 0.0000
0.5000 0.5000 0.5000



PuZnPb PBE-GGA optimized geometry; ΔH_f (0 K) = 0.8 eV/f.u.; density = 10.4 g/cm3; Fermi-level density of states = 5.71 states/eV/f.u.; crystal system = tetragonal; symmetry = I4mm, No. 107
1.0
3.1355 0.0000 0.0000
0.0000 3.1355 0.0000
-1.5677 -1.5677 8.4101
Zn Pu Pb
1 1 1
direct
0.9473 0.9473 0.8946
0.1236 0.1236 0.2473
0.7791 0.7791 0.5582



density of number 4 (Rb2MnTeS4)? 3.8 g/cm3